Compound: CoAuSeO
Source: OQMD
Functional: GGA+U
Structure: optimized geometry

Output
- Offset from the most stable computed form: 69 meV per atom
- Uncorrected energy: -4.4200 eV per atom
- Size of the total moment: 0.73 μB per atom

abc: 4.0301 4.0301 9.5586
angles: 90.00 90.00 90.00
With the nearest neighbours (Å) after each atom.
Sites, in units of the cell vectors:
Co  0.7500  0.7500  0.0157  4 O 2.02
Se  0.7500  0.7500  0.3167  4 Au 2.67, 1 Co 2.88
Au  0.2500  0.7500  0.5000  4 Se 2.67, 4 Au 2.85
O  0.7500  0.2500  0.0000  4 Co 2.02
Co  0.2500  0.2500  0.9843  4 O 2.02
Se  0.2500  0.2500  0.6833  4 Au 2.67, 1 Co 2.88
O  0.2500  0.7500  0.0000  4 Co 2.02
Au  0.7500  0.2500  0.5000  4 Se 2.67, 4 Au 2.85